Compound: YTl2In2Br6
Source: the Alexandria database
Functional: PBE-GGA
Structure: relaxed

Values from the calculation:
**Formation energy (no corrections)**: -98 kJ/mol of atoms
**Space group**: C2/m (12)
**D(E_F)**: 2.8 states/eV/f.u.

a = 8.259 Å, b = 8.259 Å, c = 8.814 Å
α = 95.58°, β = 95.58°, γ = 126.50°
Fractional positions:
Y1 0.000 0.000 0.000
Tl1 0.332 0.668 0.000
Tl2 0.668 0.332 0.000
In1 0.259 0.741 0.500
In2 0.741 0.259 0.500
Br1 0.053 0.781 0.200
Br2 0.219 0.947 0.800
Br3 0.359 0.359 0.183
Br4 0.641 0.641 0.817
Br5 0.781 0.053 0.200
Br6 0.947 0.219 0.800

***

Compound: YTlIn2Br6
Source: the Alexandria database
Functional: PBE-GGA
Structure: relaxed

Values from the calculation:
**Formation energy (no corrections)**: -115 kJ/mol of atoms
**Space group**: R3 (146)
**D(E_F)**: 0.0 states/eV/f.u.

a = 8.420 Å, b = 8.420 Å, c = 8.420 Å
α = 57.74°, β = 57.74°, γ = 57.74°
Fractional positions:
Y1 0.000 0.000 0.000
Tl1 0.491 0.491 0.491
In1 0.201 0.201 0.201
In2 0.693 0.693 0.693
Br1 0.099 0.806 0.351
Br2 0.240 0.661 0.886
Br3 0.351 0.099 0.806
Br4 0.661 0.886 0.240
Br5 0.806 0.351 0.099
Br6 0.886 0.240 0.661

***

Compound: TlZnInBr4
Source: the Alexandria database
Functional: PBE-GGA
Structure: relaxed

Values from the calculation:
**Formation energy (no corrections)**: -79 kJ/mol of atoms
**Space group**: P2_1/m (11)
**D(E_F)**: 0.0 states/eV/f.u.

a = 7.457 Å, b = 7.536 Å, c = 9.223 Å
α = 90.00°, β = 108.40°, γ = 90.00°
Fractional positions:
Tl1 0.223 0.250 0.051
Tl2 0.777 0.750 0.949
Zn1 0.221 0.750 0.792
Zn2 0.779 0.250 0.208
In1 0.260 0.250 0.567
In2 0.740 0.750 0.433
Br1 0.002 0.002 0.728
Br2 0.002 0.498 0.728
Br3 0.394 0.750 0.063
Br4 0.422 0.750 0.630
Br5 0.578 0.250 0.370
Br6 0.606 0.250 0.937
Br7 0.998 0.502 0.272
Br8 0.998 0.998 0.272

***

Compound: TlZn2InBr6
Source: the Alexandria database
Functional: PBE-GGA
Structure: relaxed

Values from the calculation:
**Formation energy (no corrections)**: -79 kJ/mol of atoms
**Space group**: C2/c (15)
**D(E_F)**: 0.0 states/eV/f.u.

a = 10.112 Å, b = 10.112 Å, c = 7.377 Å
α = 97.89°, β = 97.89°, γ = 87.22°
Fractional positions:
Tl1 0.104 0.896 0.750
Tl2 0.896 0.104 0.250
Zn1 0.202 0.371 0.736
Zn2 0.371 0.202 0.236
Zn3 0.629 0.798 0.764
Zn4 0.798 0.629 0.264
In1 0.303 0.697 0.250
In2 0.697 0.303 0.750
Br1 0.022 0.216 0.684
Br2 0.130 0.591 0.857
Br3 0.216 0.022 0.184
Br4 0.293 0.398 0.443
Br5 0.398 0.293 0.943
Br6 0.409 0.870 0.643
Br7 0.591 0.130 0.357
Br8 0.602 0.707 0.057
Br9 0.707 0.602 0.557
Br10 0.784 0.978 0.816
Br11 0.870 0.409 0.143
Br12 0.978 0.784 0.316

***

Compound: Tm2In5Br12
Source: the Alexandria database
Functional: PBE-GGA
Structure: relaxed

Values from the calculation:
**Formation energy (no corrections)**: -106 kJ/mol of atoms
**Space group**: C2/m (12)
**D(E_F)**: 6.0 states/eV/f.u.

a = 9.805 Å, b = 9.805 Å, c = 7.600 Å
α = 104.51°, β = 104.51°, γ = 64.10°
Fractional positions:
Tm1 0.249 0.751 0.000
Tm2 0.751 0.249 0.000
In1 0.000 0.000 0.500
In2 0.254 0.254 0.008
In3 0.351 0.351 0.487
In4 0.649 0.649 0.513
In5 0.746 0.746 0.992
Br1 0.082 0.082 0.196
Br2 0.096 0.711 0.248
Br3 0.142 0.529 0.776
Br4 0.289 0.904 0.752
Br5 0.471 0.858 0.224
Br6 0.476 0.476 0.200
Br7 0.524 0.524 0.800
Br8 0.529 0.142 0.776
Br9 0.711 0.096 0.248
Br10 0.858 0.471 0.224
Br11 0.904 0.289 0.752
Br12 0.918 0.918 0.804

***

Compound: Tm2InBr
Source: the Alexandria database
Functional: PBE-GGA
Structure: relaxed

Values from the calculation:
**Formation energy (no corrections)**: -50 kJ/mol of atoms
**Space group**: R-3m (166)
**D(E_F)**: 0.8 states/eV/f.u.

a = 8.561 Å, b = 8.561 Å, c = 8.561 Å
α = 32.00°, β = 32.00°, γ = 32.00°
Fractional positions:
Tm1 0.113 0.113 0.113
Tm2 0.887 0.887 0.887
In1 0.500 0.500 0.500
Br1 0.000 0.000 0.000

***

Compound: TmInBr2
Source: the Alexandria database
Functional: PBE-GGA
Structure: relaxed

Values from the calculation:
**Formation energy (no corrections)**: -67 kJ/mol of atoms
**Space group**: R-3m (166)
**D(E_F)**: 1.7 states/eV/f.u.

a = 10.615 Å, b = 10.615 Å, c = 10.615 Å
α = 21.09°, β = 21.09°, γ = 21.09°
Fractional positions:
Tm1 0.000 0.000 0.000
In1 0.500 0.500 0.500
Br1 0.086 0.086 0.086
Br2 0.914 0.914 0.914

***

Compound: TmInBr4
Source: the Alexandria database
Functional: PBE-GGA
Structure: relaxed

Values from the calculation:
**Formation energy (no corrections)**: -140 kJ/mol of atoms
**Space group**: P-1 (2)
**D(E_F)**: 0.0 states/eV/f.u.

a = 4.186 Å, b = 7.172 Å, c = 8.353 Å
α = 102.16°, β = 90.01°, γ = 106.88°
Fractional positions:
Tm1 0.000 0.000 0.000
In1 0.500 0.000 0.500
Br1 0.118 0.237 0.308
Br2 0.385 0.769 0.092
Br3 0.615 0.231 0.908
Br4 0.882 0.763 0.692

***

Compound: TmIn5Br8
Source: the Alexandria database
Functional: PBE-GGA
Structure: relaxed

Values from the calculation:
**Formation energy (no corrections)**: -92 kJ/mol of atoms
**Space group**: I-4 (82)
**D(E_F)**: 0.0 states/eV/f.u.

a = 8.488 Å, b = 8.488 Å, c = 8.488 Å
α = 110.78°, β = 110.78°, γ = 106.88°
Fractional positions:
Tm1 0.000 0.000 0.000
In1 0.250 0.612 0.108
In2 0.388 0.496 0.638
In3 0.504 0.142 0.892
In4 0.750 0.250 0.500
In5 0.858 0.750 0.362
Br1 0.001 0.349 0.204
Br2 0.085 0.193 0.766
Br3 0.145 0.797 0.796
Br4 0.203 0.999 0.348
Br5 0.427 0.319 0.234
Br6 0.651 0.855 0.652
Br7 0.681 0.915 0.108
Br8 0.807 0.573 0.892

***

Compound: TmIn2Br5
Source: the Alexandria database
Functional: PBE-GGA
Structure: relaxed

Values from the calculation:
**Formation energy (no corrections)**: -121 kJ/mol of atoms
**Space group**: Cc (9)
**D(E_F)**: 0.0 states/eV/f.u.

a = 9.562 Å, b = 9.562 Å, c = 10.459 Å
α = 120.04°, β = 120.04°, γ = 48.37°
Fractional positions:
Tm1 0.001 0.999 0.500
Tm2 0.999 0.001 0.000
In1 0.318 0.377 0.002
In2 0.377 0.318 0.502
In3 0.624 0.680 0.497
In4 0.680 0.624 0.997
Br1 0.078 0.282 0.132
Br2 0.144 0.856 0.750
Br3 0.258 0.630 0.361
Br4 0.282 0.078 0.632
Br5 0.368 0.743 0.140
Br6 0.630 0.258 0.861
Br7 0.719 0.921 0.368
Br8 0.743 0.368 0.640
Br9 0.856 0.144 0.250
Br10 0.921 0.719 0.868

***

Compound: UIn3Br8
Source: the Alexandria database
Functional: PBE-GGA
Structure: relaxed

Values from the calculation:
**Formation energy (no corrections)**: -83 kJ/mol of atoms
**Space group**: Pm-3m (221)
**D(E_F)**: 9.0 states/eV/f.u.

a = 7.368 Å, b = 7.368 Å, c = 7.368 Å
α = 90.00°, β = 90.00°, γ = 90.00°
Fractional positions:
U1 0.000 0.000 0.000
In1 0.000 0.500 0.500
In2 0.500 0.000 0.500
In3 0.500 0.500 0.000
Br1 0.230 0.230 0.230
Br2 0.230 0.230 0.770
Br3 0.230 0.770 0.230
Br4 0.230 0.770 0.770
Br5 0.770 0.230 0.230
Br6 0.770 0.230 0.770
Br7 0.770 0.770 0.230
Br8 0.770 0.770 0.770

***

Compound: UInBr6
Source: the Alexandria database
Functional: PBE-GGA
Structure: relaxed

Values from the calculation:
**Formation energy (no corrections)**: -108 kJ/mol of atoms
**Space group**: C2/m (12)
**Relative energy among the computed polymorphs**: 0 meV per atom

a = 7.323 Å, b = 7.323 Å, c = 7.439 Å
α = 98.03°, β = 98.03°, γ = 116.87°
Fractional positions:
U1 0.000 0.000 0.000
In1 0.500 0.500 0.500
Br1 0.053 0.356 0.220
Br2 0.230 0.230 0.781
Br3 0.356 0.053 0.220
Br4 0.644 0.947 0.780
Br5 0.770 0.770 0.219
Br6 0.947 0.644 0.780

***

Compound: UIn2Br8
Source: the Alexandria database
Functional: PBE-GGA
Structure: relaxed

Values from the calculation:
**Formation energy (no corrections)**: -94 kJ/mol of atoms
**Space group**: C2/m (12)
**D(E_F)**: 2.1 states/eV/f.u.

a = 6.924 Å, b = 6.924 Å, c = 9.936 Å
α = 96.26°, β = 96.26°, γ = 76.21°
Fractional positions:
U1 0.000 0.000 0.000
In1 0.086 0.086 0.407
In2 0.914 0.914 0.593
Br1 0.198 0.747 0.782
Br2 0.245 0.245 0.996
Br3 0.253 0.802 0.218
Br4 0.318 0.318 0.460
Br5 0.682 0.682 0.540
Br6 0.747 0.198 0.782
Br7 0.755 0.755 0.004
Br8 0.802 0.253 0.218

***

Compound: UIn2Br6
Source: the Alexandria database
Functional: PBE-GGA
Structure: relaxed

Values from the calculation:
**Formation energy (no corrections)**: -101 kJ/mol of atoms
**Space group**: P2_1/c (14)
**D(E_F)**: 6.6 states/eV/f.u.

a = 7.697 Å, b = 8.358 Å, c = 12.863 Å
α = 90.00°, β = 121.21°, γ = 90.00°
Fractional positions:
U1 0.000 0.000 0.000
U2 0.000 0.500 0.500
In1 0.312 0.097 0.776
In2 0.312 0.403 0.276
In3 0.688 0.597 0.724
In4 0.688 0.903 0.224
Br1 0.103 0.047 0.241
Br2 0.103 0.453 0.741
Br3 0.234 0.723 0.068
Br4 0.234 0.777 0.568
Br5 0.342 0.177 0.044
Br6 0.342 0.323 0.544
Br7 0.658 0.677 0.456
Br8 0.658 0.823 0.956
Br9 0.766 0.223 0.432
Br10 0.766 0.277 0.932
Br11 0.897 0.547 0.259
Br12 0.897 0.953 0.759

***

Compound: UInBr6
Source: the Alexandria database
Functional: PBE-GGA
Structure: relaxed

Values from the calculation:
**Formation energy (no corrections)**: -107 kJ/mol of atoms
**Space group**: P-1 (2)
**Relative energy among the computed polymorphs**: 4 meV per atom

a = 7.374 Å, b = 7.377 Å, c = 8.001 Å
α = 62.62°, β = 62.56°, γ = 60.05°
Fractional positions:
U1 0.000 0.000 0.000
In1 0.500 0.500 0.500
Br1 0.049 0.792 0.770
Br2 0.208 0.611 0.229
Br3 0.389 0.049 0.770
Br4 0.611 0.951 0.230
Br5 0.792 0.389 0.771
Br6 0.951 0.208 0.230

***

Compound: UIn2Br5
Source: the Alexandria database
Functional: PBE-GGA
Structure: relaxed

Values from the calculation:
**Formation energy (no corrections)**: -95 kJ/mol of atoms
**Space group**: Pnma (62)
**D(E_F)**: 2.1 states/eV/f.u.

a = 13.519 Å, b = 9.188 Å, c = 8.635 Å
α = 90.00°, β = 90.00°, γ = 90.00°
Fractional positions:
U1 0.003 0.250 0.072
U2 0.497 0.750 0.572
U3 0.503 0.250 0.428
U4 0.997 0.750 0.928
In1 0.172 0.001 0.553
In2 0.172 0.499 0.553
In3 0.328 0.501 0.053
In4 0.328 0.999 0.053
In5 0.672 0.001 0.947
In6 0.672 0.499 0.947
In7 0.828 0.501 0.447
In8 0.828 0.999 0.447
Br1 0.004 0.250 0.424
Br2 0.078 0.544 0.167
Br3 0.078 0.956 0.167
Br4 0.184 0.250 0.882
Br5 0.208 0.750 0.839
Br6 0.292 0.250 0.339
Br7 0.316 0.750 0.382
Br8 0.422 0.044 0.667
Br9 0.422 0.456 0.667
Br10 0.496 0.750 0.924
Br11 0.504 0.250 0.076
Br12 0.578 0.544 0.333
Br13 0.578 0.956 0.333
Br14 0.684 0.250 0.618
Br15 0.708 0.750 0.661
Br16 0.792 0.250 0.161
Br17 0.816 0.750 0.118
Br18 0.922 0.044 0.833
Br19 0.922 0.456 0.833
Br20 0.996 0.750 0.576

***

Compound: U2InBr8
Source: the Alexandria database
Functional: PBE-GGA
Structure: relaxed

Values from the calculation:
**Formation energy (no corrections)**: -103 kJ/mol of atoms
**Space group**: P-3 (147)
**D(E_F)**: 19.5 states/eV/f.u.

a = 9.927 Å, b = 9.927 Å, c = 5.776 Å
α = 90.00°, β = 90.00°, γ = 120.00°
Fractional positions:
U1 0.333 0.667 0.242
U2 0.667 0.333 0.758
In1 0.000 0.000 0.000
Br1 0.174 0.350 0.259
Br2 0.176 0.826 0.259
Br3 0.333 0.667 0.750
Br4 0.350 0.176 0.741
Br5 0.650 0.824 0.259
Br6 0.667 0.333 0.250
Br7 0.824 0.174 0.741
Br8 0.826 0.650 0.741

***

Compound: VIn2Br6
Source: the Alexandria database
Functional: PBE-GGA
Structure: relaxed

Values from the calculation:
**Formation energy (no corrections)**: -75 kJ/mol of atoms
**Space group**: R3 (146)
**D(E_F)**: 0.8 states/eV/f.u.

a = 8.918 Å, b = 8.918 Å, c = 8.918 Å
α = 45.46°, β = 45.46°, γ = 45.46°
Fractional positions:
V1 0.000 0.000 0.000
In1 0.166 0.166 0.166
In2 0.335 0.335 0.335
Br1 0.074 0.370 0.747
Br2 0.242 0.954 0.618
Br3 0.370 0.747 0.074
Br4 0.618 0.242 0.954
Br5 0.747 0.074 0.370
Br6 0.954 0.618 0.242

***

Compound: VIn2Br5
Source: the Alexandria database
Functional: PBE-GGA
Structure: relaxed

Values from the calculation:
**Formation energy (no corrections)**: -69 kJ/mol of atoms
**Space group**: P1 (1)
**Relative energy among the computed polymorphs**: 10 meV per atom
**D(E_F)**: 5.1 states/eV/f.u.

a = 5.355 Å, b = 7.163 Å, c = 7.431 Å
α = 109.38°, β = 90.05°, γ = 111.93°
Fractional positions:
V1 0.000 0.000 0.000
In1 0.368 0.732 0.348
In2 0.633 0.268 0.650
Br1 0.134 0.268 0.346
Br2 0.155 0.310 0.880
Br3 0.500 0.000 0.001
Br4 0.845 0.690 0.120
Br5 0.866 0.733 0.654

***

Compound: V2InBr8
Source: the Alexandria database
Functional: PBE-GGA
Structure: relaxed

Values from the calculation:
**Formation energy (no corrections)**: -75 kJ/mol of atoms
**Space group**: C2/m (12)
**D(E_F)**: 10.0 states/eV/f.u.

a = 8.610 Å, b = 8.610 Å, c = 7.159 Å
α = 99.27°, β = 99.27°, γ = 68.48°
Fractional positions:
V1 0.203 0.203 0.164
V2 0.797 0.797 0.836
In1 0.000 0.000 0.500
Br1 0.067 0.691 0.734
Br2 0.192 0.192 0.832
Br3 0.309 0.933 0.266
Br4 0.364 0.364 0.309
Br5 0.636 0.636 0.691
Br6 0.691 0.067 0.734
Br7 0.808 0.808 0.168
Br8 0.933 0.309 0.266